Entry from the Alexandria database: crystalline ScAlP2 at its relaxed geometry (PBE-GGA).

extended XYZ file:
```
4
Lattice="3.4608 0.0000 0.0000 0.0000 3.8159 0.0000 0.0000 0.0000 5.0639" Properties=species:S:1:pos:R:3 pbc="T T T"
Sc 0.0000 0.0000 0.0000
Al 0.0000 1.9079 2.5319
P 1.7304 0.0000 2.5319
P 1.7304 1.9079 0.0000
```

Values from the calculation:
ΔH_f (0 K): -529.8 meV/atom
crystal system: orthorhombic
raw total energy: -5.753 eV per atom
symmetry: Pmmm, No. 47